{
  "formula": "Zn2InRe",
  "functional": "PBE",
  "state": "relaxed",
  "formation_energy_ev_per_atom": 0.33,
  "dft_energy_ev_per_atom": -4.0994,
  "cell": [[5.066, 0.019, -0.017], [4.281, 2.708, -0.017], [0.695, 0.203, 4.910]],
  "species": ["In", "Re", "Zn", "Zn"],
  "frac_coords": [[0.750, 0.750, 0.750], [0.250, 0.250, 0.250], [0.985, 0.985, 0.031], [0.515, 0.515, 0.469]]
}